Record 1
Below is a PBEsol-optimized structure of Zr2ScNi, with properties calculated at the meta-GGA SCAN level.

Cell: 5.457 9.418 3.095 Å, 90.00 110.38 90.00°
Space group C2/m (No. 12)
Unique sites:
1 Zr 0.250 0.250 0.000
2 Sc 0.000 0.000 0.500
3 Ni 0.000 0.500 0.500

- VASP energy (eV/cell) = -182.6
- ΔE to the lowest computed polymorph (meV per atom) = 330
- formation enthalpy at 0 K (eV/atom) = 0.12

Record 2
Below is a PBEsol-optimized structure of TcIr2Rh, with properties calculated at the meta-GGA SCAN level.

Cell: 8.960 2.685 4.667 Å, 90.00 99.88 90.00°
Space group Cm (No. 8)
Unique sites:
1 Tc 0.000 0.000 0.000
2 Ir 0.003 0.500 0.501
3 Ir 0.252 0.000 0.753
4 Rh 0.250 0.500 0.249

- VASP energy (eV/cell) = -423.2
- ΔE to the lowest computed polymorph (meV per atom) = 42
- formation enthalpy at 0 K (eV/atom) = -0.14

Record 3
Below is a PBEsol-optimized structure of BaGa2Ag2, with properties calculated at the meta-GGA SCAN level.

Cell: 4.543 4.543 11.103 Å, 90.00 90.00 90.00°
Space group I4/mmm (No. 139)
Unique sites:
1 Ba 0.000 0.000 0.000
2 Ga 0.000 0.500 0.250
3 Ag 0.000 0.000 0.372

- VASP energy (eV/cell) = -272.7
- formation enthalpy at 0 K (eV/atom) = -0.27

Record 4
Below is a PBEsol-optimized structure of MgTi2Ge2, with properties calculated at the meta-GGA SCAN level.

Cell: 3.708 3.708 13.195 Å, 90.00 90.00 90.00°
Space group I4/mmm (No. 139)
Unique sites:
1 Mg 0.000 0.000 0.000
2 Ti 0.000 0.000 0.396
3 Ge 0.000 0.500 0.250

- VASP energy (eV/cell) = -150.2
- formation enthalpy at 0 K (eV/atom) = 0.02

Record 5
Below is a PBEsol-optimized structure of Sr7CaIr2O12, with properties calculated at the meta-GGA SCAN level.

Cell: 9.6840 9.6840 11.6255 Å, 90.00 90.00 120.00°
Space group R32 (No. 155, hexagonal axes)
Unique sites:
1 Sr 0.0000 0.0000 0.0000
2 Sr 0.0000 0.3655 0.0000
3 Sr 0.0000 0.6366 0.5000
4 Ca 0.0000 0.0000 0.5000
5 Ir 0.0000 0.0000 0.2535
6 O 0.0248 0.1838 0.1517
7 O 0.0245 0.8432 0.6431

- VASP energy (eV/cell) = -1315.9
- raw formation energy (eV/f.u.) = -56.1

Record 6
Below is a PBEsol-optimized structure of Pr8Sb14Pt17, with properties calculated at the meta-GGA SCAN level.

Cell: 12.476 12.476 21.515 Å, 90.00 90.00 90.00°
Space group I4cm (No. 108)
Unique sites:
1 Pr 0.000 0.000 0.000
2 Pr 0.000 0.500 0.007
3 Pr 0.018 0.248 0.255
4 Pr 0.249 0.251 0.996
5 Sb 0.000 0.000 0.299
6 Sb 0.000 0.500 0.274
7 Sb 0.007 0.255 0.940
8 Sb 0.097 0.403 0.640
9 Sb 0.127 0.150 0.124
10 Sb 0.221 0.279 0.822
11 Pt 0.000 0.000 0.176
12 Pt 0.021 0.254 0.558
13 Pt 0.082 0.418 0.876
14 Pt 0.112 0.124 0.376
15 Pt 0.122 0.378 0.135
16 Pt 0.143 0.357 0.372
17 Pt 0.233 0.267 0.702

- VASP energy (eV/cell) = -8406.5
- raw formation energy (eV/f.u.) = -40.1

Record 7
Below is a PBEsol-optimized structure of FeNiW2, with properties calculated at the meta-GGA SCAN level.

Cell: 3.751 3.751 7.315 Å, 90.00 90.00 90.00°
Space group I4/mmm (No. 139)
Unique sites:
1 Fe 0.000 0.000 0.000
2 Ni 0.000 0.000 0.500
3 W 0.000 0.500 0.250

- VASP energy (eV/cell) = -346.1
- ΔE to the lowest computed polymorph (meV per atom) = 0
- formation enthalpy at 0 K (eV/atom) = 0.16

Record 8
Below is a PBEsol-optimized structure of Mg30VNiO32, with properties calculated at the meta-GGA SCAN level.

Cell: 8.438 8.438 8.433 Å, 90.00 90.00 90.00°
Space group P4/mmm (No. 123)
Unique sites:
1 Mg 0.000 0.000 0.000
2 Mg 0.000 0.248 0.252
3 Mg 0.000 0.500 0.000
4 Mg 0.000 0.500 0.500
5 Mg 0.247 0.247 0.500
6 Mg 0.249 0.249 0.000
7 Mg 0.249 0.500 0.250
8 Mg 0.500 0.500 0.000
9 V 0.500 0.500 0.500
10 Ni 0.000 0.000 0.500
11 O 0.000 0.000 0.246
12 O 0.000 0.250 0.000
13 O 0.000 0.256 0.500
14 O 0.000 0.500 0.250
15 O 0.250 0.250 0.251
16 O 0.251 0.500 0.000
17 O 0.252 0.500 0.500
18 O 0.500 0.500 0.250

- VASP energy (eV/cell) = -570.0
- raw formation energy (eV/f.u.) = -187.7

N(E_F), respectively: 5.08; 3.56; 2.89; 4.85; 8.47; 13.32; 2.11; 6.08 states/eV/f.u..
Magnetization, respectively: 0.00; 0.00; 0.00; 0.02; 6.07; 0.00; 0.00; 4.72 μB/cell.